{
  "formula": "MoBr6",
  "functional": "GGA-PBE",
  "state": "optimized geometry",
  "energy_ev_per_atom": -3.3494,
  "magnetic_moment_mub_per_cell": 0.01,
  "spacegroup": "C2/c, No. 15",
  "cell": [[3.333, -5.425, 0.000], [3.333, 5.425, 0.000], [-0.087, 0.000, 11.742]],
  "species": ["Br", "Br", "Br", "Br", "Br", "Br", "Br", "Br", "Br", "Br", "Br", "Br", "Mo", "Mo"],
  "frac_coords": [[0.681, 0.025, 0.125], [0.355, 0.346, 0.127], [0.975, 0.642, 0.133], [0.358, 0.025, 0.367], [0.654, 0.645, 0.373], [0.975, 0.319, 0.375], [0.025, 0.681, 0.625], [0.346, 0.355, 0.627], [0.642, 0.975, 0.633], [0.025, 0.358, 0.867], [0.645, 0.654, 0.873], [0.319, 0.975, 0.875], [0.666, 0.334, 0.250], [0.334, 0.666, 0.750]]
}



{
  "formula": "Mo",
  "functional": "GGA-PBE",
  "state": "optimized geometry",
  "ef_ev_per_atom": 0.4056,
  "magnetic_moment_mub_per_cell": 0.01,
  "de_polymorph_mev_per_atom": 406,
  "spacegroup": "P6/mmm, No. 191",
  "cell": [[-0.818, 0.349, -4.586], [-2.282, -3.185, 2.544], [-1.861, 1.701, 0.461]],
  "species": ["Mo", "Mo", "Mo"],
  "frac_coords": [[0.000, 0.000, 0.000], [0.667, 0.333, 0.500], [0.333, 0.667, 0.500]]
}